No. 1
The following is a PBE calculation of crystalline TeAs2PtBr at its relaxed geometry, from Alexandria via LeMat-Bulk.

Calculated values
Uncorrected formation energy, eV/atom: 0.408
Total magnetic moment, μB per formula unit: 0.0
Mass density, Mg/m³: 7.31

a = 4.975 Å, b = 4.975 Å, c = 5.073 Å
α = 90.00°, β = 90.00°, γ = 90.00°
Sites, in units of the cell vectors:
Te 0.000 0.000 0.000
As 0.000 0.500 0.500
As 0.500 0.000 0.500
Pt 0.500 0.500 0.500
Br 0.500 0.500 0.000

No. 2
The following is a PBE calculation of crystalline Hg2Ru at its relaxed geometry, from Alexandria via LeMat-Bulk.

Calculated values
Energy, eV/atom: -2.65
Total magnetic moment, μB per formula unit: 0.0
Mass density, Mg/m³: 14.69

a = 4.770 Å, b = 4.770 Å, c = 5.765 Å
α = 90.00°, β = 90.00°, γ = 120.00°
Sites, in units of the cell vectors:
Hg 0.000 0.000 0.000
Hg 0.000 0.000 0.500
Hg 0.333 0.667 0.250
Hg 0.667 0.333 0.750
Ru 0.333 0.667 0.750
Ru 0.667 0.333 0.250

No. 3
The following is a PBE calculation of crystalline LiSm3O4 at its relaxed geometry, from Alexandria via LeMat-Bulk.

Calculated values
Uncorrected formation energy, eV/atom: -2.763
Total magnetic moment, μB per formula unit: 0.0
Mass density, Mg/m³: 7.55

a = 4.860 Å, b = 4.860 Å, c = 4.860 Å
α = 90.00°, β = 90.00°, γ = 90.00°
Sites, in units of the cell vectors:
Li 0.000 0.000 0.000
Sm 0.000 0.500 0.500
Sm 0.500 0.000 0.500
Sm 0.500 0.500 0.000
O 0.000 0.000 0.500
O 0.000 0.500 0.000
O 0.500 0.000 0.000
O 0.500 0.500 0.500

No. 4
The following is a PBE calculation of crystalline As3Cl at its relaxed geometry, from Alexandria via LeMat-Bulk.

Calculated values
Uncorrected formation energy, eV/atom: 0.338
Total magnetic moment, μB per formula unit: 0.0
Mass density, Mg/m³: 5.48

a = 3.139 Å, b = 3.139 Å, c = 8.774 Å
α = 90.00°, β = 90.00°, γ = 114.10°
Sites, in units of the cell vectors:
As 0.000 0.000 0.000
As 0.500 0.500 0.243
As 0.500 0.500 0.757
Cl 0.000 0.000 0.500

No. 5
The following is a PBE calculation of crystalline Er8TmTl6 at its relaxed geometry, from Alexandria via LeMat-Bulk.

Calculated values
Energy, eV/atom: -3.79
Total magnetic moment, μB per formula unit: 0.0
Mass density, Mg/m³: 9.98

a = 8.311 Å, b = 8.311 Å, c = 8.311 Å
α = 65.55°, β = 65.55°, γ = 65.55°
Sites, in units of the cell vectors:
Er 0.058 0.391 0.724
Er 0.167 0.167 0.167
Er 0.276 0.942 0.609
Er 0.391 0.724 0.058
Er 0.609 0.276 0.942
Er 0.724 0.058 0.391
Er 0.833 0.833 0.833
Er 0.942 0.609 0.276
Tm 0.500 0.500 0.500
Tl 0.102 0.768 0.435
Tl 0.232 0.565 0.898
Tl 0.435 0.102 0.768
Tl 0.565 0.898 0.232
Tl 0.768 0.435 0.102
Tl 0.898 0.232 0.565

No. 6
The following is a PBE calculation of crystalline Na7SrTl4 at its relaxed geometry, from Alexandria via LeMat-Bulk.

Calculated values
Energy, eV/atom: -1.71
Total magnetic moment, μB per formula unit: 0.0
Mass density, Mg/m³: 4.41

a = 7.667 Å, b = 7.667 Å, c = 11.501 Å
α = 121.46°, β = 121.46°, γ = 46.07°
Sites, in units of the cell vectors:
Na 0.000 0.000 0.000
Na 0.170 0.170 0.602
Na 0.283 0.283 0.122
Na 0.436 0.436 0.617
Na 0.564 0.564 0.383
Na 0.717 0.717 0.878
Na 0.830 0.830 0.398
Sr 0.500 0.500 0.000
Tl 0.072 0.072 0.788
Tl 0.186 0.186 0.327
Tl 0.814 0.814 0.673
Tl 0.928 0.928 0.212

No. 7
The following is a PBE calculation of crystalline ZnSiSb2Br at its relaxed geometry, from Alexandria via LeMat-Bulk.

Calculated values
Uncorrected formation energy, eV/atom: 0.542
Total magnetic moment, μB per formula unit: 0.3
Mass density, Mg/m³: 4.81

a = 5.292 Å, b = 5.292 Å, c = 5.136 Å
α = 90.00°, β = 90.00°, γ = 90.00°
Sites, in units of the cell vectors:
Zn 0.000 0.000 0.000
Si 0.500 0.500 0.500
Sb 0.000 0.500 0.500
Sb 0.500 0.000 0.500
Br 0.500 0.500 0.000

No. 8
The following is a PBE calculation of crystalline Dy6Te3PC2 at its relaxed geometry, from Alexandria via LeMat-Bulk.

Calculated values
Uncorrected formation energy, eV/atom: -1.098
Total magnetic moment, μB per formula unit: 0.0
Mass density, Mg/m³: 8.31

a = 6.822 Å, b = 6.822 Å, c = 7.367 Å
α = 98.90°, β = 98.90°, γ = 119.98°
Sites, in units of the cell vectors:
Dy 0.078 0.435 0.804
Dy 0.208 0.208 0.192
Dy 0.435 0.078 0.804
Dy 0.565 0.922 0.196
Dy 0.792 0.792 0.808
Dy 0.922 0.565 0.196
Te 0.000 0.000 0.500
Te 0.340 0.660 0.500
Te 0.660 0.340 0.500
P 0.500 0.500 0.000
C 0.167 0.833 0.000
C 0.833 0.167 0.000